! SrSi4Br | the Alexandria database | SCAN | PBEsol geometry; values from VASP
! space-group type: F-43m
! ΔE_f (raw): 0.14 eV/atom
&SYSTEM
  ibrav = 0, nat = 6, ntyp = 3
/
ATOMIC_SPECIES
Si 28.09 Si.upf
Sr 87.62 Sr.upf
Br 79.90 Br.upf
CELL_PARAMETERS angstrom
-4.1982 -1.1637 3.2142
0.8290 -2.4551 4.7534
-0.7121 2.7330 4.6188
ATOMIC_POSITIONS crystal
Si 0.3739 0.3739 0.8782
Si 0.3739 0.3739 0.3739
Si 0.8782 0.3739 0.3739
Si 0.3739 0.8782 0.3739
Sr 0.7500 0.7500 0.7500
Br 0.0000 0.0000 0.0000